A geometry-optimized La2InSb3Ir4 structure. Source: Alexandria, functional GGA-PBE.

Space-group type   No. 115
Formation energy (no corrections)   -621 meV/atom
VASP energy   -6.66 eV per atom
DOS(E_F)   0.663 states/eV per atom

Cell: 4.4524 4.4524 11.1095 Å, 90.00 90.00 90.00°
Closest atoms and distances in Å follow each position.
Positions (direct):
Ir: 0.5000 0.0000 0.6361  3 Sb 2.56-2.69, 2 In 2.69
Ir: 0.0000 0.5000 0.3639  3 Sb 2.56-2.69, 2 In 2.69
Ir: 0.0000 0.0000 0.0000  4 Sb 2.67
Ir: 0.5000 0.5000 0.0000  4 Sb 2.67
Sb: 0.5000 0.0000 0.8668  5 Ir 2.56-2.67
Sb: 0.0000 0.0000 0.5000  4 Ir 2.69
Sb: 0.0000 0.5000 0.1332  5 Ir 2.56-2.67
La: 0.5000 0.0000 0.2502  8 Ir 3.39-3.56, 6 Sb 3.41-3.56, 2 In 3.56
La: 0.0000 0.5000 0.7498  8 Ir 3.39-3.56, 6 Sb 3.41-3.56, 2 In 3.56
In: 0.5000 0.5000 0.5000  4 Ir 2.69